Computed, not measured: a relaxed structure of SrLuPt2 at the PBE level of DFT.

Computed properties:
Energy, eV/atom: -4.492
Magnetization, μB per cell: 0.015

Structure (CIF):
```
data_SrLuPt2
_symmetry_space_group_name_H-M 'P 1'
_symmetry_Int_Tables_number 1
_cell_length_a 7.8545
_cell_length_b 7.8545
_cell_length_c 7.8545
_cell_angle_alpha 90.00
_cell_angle_beta 90.00
_cell_angle_gamma 90.00
loop_
_symmetry_equiv_pos_as_xyz
'x,y,z'
loop_
_atom_site_label
_atom_site_type_symbol
_atom_site_fract_x
_atom_site_fract_y
_atom_site_fract_z
Sr1 Sr 0.0000 0.0000 0.0000
Sr2 Sr 0.0000 0.5000 0.5000
Sr3 Sr 0.5000 0.0000 0.5000
Sr4 Sr 0.5000 0.5000 0.0000
Lu1 Lu 0.2500 0.2500 0.2500
Lu2 Lu 0.2500 0.7500 0.7500
Lu3 Lu 0.7500 0.2500 0.7500
Lu4 Lu 0.7500 0.7500 0.2500
Pt1 Pt 0.0000 0.0000 0.5000
Pt2 Pt 0.0000 0.5000 0.0000
Pt3 Pt 0.2500 0.2500 0.7500
Pt4 Pt 0.2500 0.7500 0.2500
Pt5 Pt 0.5000 0.0000 0.0000
Pt6 Pt 0.5000 0.5000 0.5000
Pt7 Pt 0.7500 0.2500 0.2500
Pt8 Pt 0.7500 0.7500 0.7500
```

=====

Computed, not measured: a relaxed structure of LuTaPt at the PBE level of DFT.

Computed properties:
Energy, eV/atom: -7.734
Magnetization, μB per cell: 0.026

Structure (CIF):
```
data_LuTaPt
_symmetry_space_group_name_H-M 'P 1'
_symmetry_Int_Tables_number 1
_cell_length_a 6.4505
_cell_length_b 6.4505
_cell_length_c 6.4505
_cell_angle_alpha 90.00
_cell_angle_beta 90.00
_cell_angle_gamma 90.00
loop_
_symmetry_equiv_pos_as_xyz
'x,y,z'
loop_
_atom_site_label
_atom_site_type_symbol
_atom_site_fract_x
_atom_site_fract_y
_atom_site_fract_z
Lu1 Lu 0.0000 0.0000 0.0000
Lu2 Lu 0.0000 0.5000 0.5000
Lu3 Lu 0.5000 0.0000 0.5000
Lu4 Lu 0.5000 0.5000 0.0000
Ta1 Ta 0.0000 0.0000 0.5000
Ta2 Ta 0.0000 0.5000 0.0000
Ta3 Ta 0.5000 0.0000 0.0000
Ta4 Ta 0.5000 0.5000 0.5000
Pt1 Pt 0.2500 0.2500 0.2500
Pt2 Pt 0.2500 0.7500 0.7500
Pt3 Pt 0.7500 0.2500 0.7500
Pt4 Pt 0.7500 0.7500 0.2500
```

=====

Computed, not measured: a relaxed structure of TbLuPt2 at the PBE level of DFT.

Computed properties:
Energy, eV/atom: -6.623
Magnetization, μB per cell: 0.004

Structure (CIF):
```
data_TbLuPt2
_symmetry_space_group_name_H-M 'P 1'
_symmetry_Int_Tables_number 1
_cell_length_a 4.4796
_cell_length_b 6.9608
_cell_length_c 5.5271
_cell_angle_alpha 90.00
_cell_angle_beta 90.00
_cell_angle_gamma 90.00
loop_
_symmetry_equiv_pos_as_xyz
'x,y,z'
loop_
_atom_site_label
_atom_site_type_symbol
_atom_site_fract_x
_atom_site_fract_y
_atom_site_fract_z
Tb1 Tb 0.0000 0.0689 0.0000
Tb2 Tb 0.5000 0.9311 0.5000
Lu1 Lu 0.0000 0.5683 0.2163
Lu2 Lu 0.5000 0.4317 0.7163
Pt1 Pt 0.0000 0.2171 0.5152
Pt2 Pt 0.0000 0.6949 0.7013
Pt3 Pt 0.5000 0.3051 0.2013
Pt4 Pt 0.5000 0.7829 0.0152
```

=====

Computed, not measured: a relaxed structure of TbLuPt2 at the PBE level of DFT.

Computed properties:
Energy, eV/atom: -6.619
Magnetization, μB per cell: 0.008

Structure (CIF):
```
data_TbLuPt2
_symmetry_space_group_name_H-M 'P 1'
_symmetry_Int_Tables_number 1
_cell_length_a 5.5332
_cell_length_b 4.4788
_cell_length_c 6.9575
_cell_angle_alpha 90.00
_cell_angle_beta 90.93
_cell_angle_gamma 90.00
loop_
_symmetry_equiv_pos_as_xyz
'x,y,z'
loop_
_atom_site_label
_atom_site_type_symbol
_atom_site_fract_x
_atom_site_fract_y
_atom_site_fract_z
Tb1 Tb 0.1431 0.2500 0.1835
Tb2 Tb 0.8569 0.7500 0.8165
Lu1 Lu 0.3593 0.2500 0.6805
Lu2 Lu 0.6407 0.7500 0.3195
Pt1 Pt 0.1617 0.7500 0.4612
Pt2 Pt 0.3472 0.7500 0.9516
Pt3 Pt 0.6528 0.2500 0.0484
Pt4 Pt 0.8383 0.2500 0.5388
```

=====

Computed, not measured: a relaxed structure of TbLuPt at the PBE level of DFT.

Computed properties:
Energy, eV/atom: -5.205
Magnetization, μB per cell: 0.010

Structure (CIF):
```
data_TbLuPt
_symmetry_space_group_name_H-M 'P 1'
_symmetry_Int_Tables_number 1
_cell_length_a 6.6605
_cell_length_b 6.6605
_cell_length_c 6.6605
_cell_angle_alpha 90.00
_cell_angle_beta 90.00
_cell_angle_gamma 90.00
loop_
_symmetry_equiv_pos_as_xyz
'x,y,z'
loop_
_atom_site_label
_atom_site_type_symbol
_atom_site_fract_x
_atom_site_fract_y
_atom_site_fract_z
Tb1 Tb 0.0000 0.0000 0.0000
Tb2 Tb 0.0000 0.5000 0.5000
Tb3 Tb 0.5000 0.0000 0.5000
Tb4 Tb 0.5000 0.5000 0.0000
Lu1 Lu 0.2500 0.2500 0.7500
Lu2 Lu 0.2500 0.7500 0.2500
Lu3 Lu 0.7500 0.2500 0.2500
Lu4 Lu 0.7500 0.7500 0.7500
Pt1 Pt 0.0000 0.0000 0.5000
Pt2 Pt 0.0000 0.5000 0.0000
Pt3 Pt 0.5000 0.0000 0.0000
Pt4 Pt 0.5000 0.5000 0.5000
```

=====

Computed, not measured: a relaxed structure of Tb3LuPt4 at the PBE level of DFT.

Computed properties:
Energy, eV/atom: -6.616
Magnetization, μB per cell: 0.032

Structure (CIF):
```
data_Tb3LuPt4
_symmetry_space_group_name_H-M 'P 1'
_symmetry_Int_Tables_number 1
_cell_length_a 5.5536
_cell_length_b 4.5024
_cell_length_c 7.0143
_cell_angle_alpha 90.00
_cell_angle_beta 90.45
_cell_angle_gamma 90.00
loop_
_symmetry_equiv_pos_as_xyz
'x,y,z'
loop_
_atom_site_label
_atom_site_type_symbol
_atom_site_fract_x
_atom_site_fract_y
_atom_site_fract_z
Tb1 Tb 0.0000 0.0000 0.0000
Tb2 Tb 0.2168 0.0000 0.4984
Tb3 Tb 0.7158 0.5000 0.6345
Lu1 Lu 0.4989 0.5000 0.1358
Pt1 Pt 0.0150 0.5000 0.2707
Pt2 Pt 0.2051 0.5000 0.7773
Pt3 Pt 0.5129 0.0000 0.8696
Pt4 Pt 0.6977 0.0000 0.3532
```

=====

Computed, not measured: a relaxed structure of TbLuPt2 at the PBE level of DFT.

Computed properties:
Energy, eV/atom: -6.617
Magnetization, μB per cell: 0.030

Structure (CIF):
```
data_TbLuPt2
_symmetry_space_group_name_H-M 'P 1'
_symmetry_Int_Tables_number 1
_cell_length_a 4.4747
_cell_length_b 5.5392
_cell_length_c 6.9579
_cell_angle_alpha 90.00
_cell_angle_beta 90.00
_cell_angle_gamma 90.00
loop_
_symmetry_equiv_pos_as_xyz
'x,y,z'
loop_
_atom_site_label
_atom_site_type_symbol
_atom_site_fract_x
_atom_site_fract_y
_atom_site_fract_z
Tb1 Tb 0.0000 0.1101 0.0000
Tb2 Tb 0.0000 0.8899 0.5000
Lu1 Lu 0.5000 0.3908 0.6367
Lu2 Lu 0.5000 0.6092 0.1367
Pt1 Pt 0.0000 0.4077 0.3642
Pt2 Pt 0.0000 0.5923 0.8642
Pt3 Pt 0.5000 0.0959 0.2745
Pt4 Pt 0.5000 0.9041 0.7745
```

=====

Computed, not measured: a relaxed structure of Lu2TcPt at the PBE level of DFT.

Computed properties:
Energy, eV/atom: -6.518
Magnetization, μB per cell: 2.144

Structure (CIF):
```
data_Lu2TcPt
_symmetry_space_group_name_H-M 'P 1'
_symmetry_Int_Tables_number 1
_cell_length_a 6.7039
_cell_length_b 6.7039
_cell_length_c 6.7039
_cell_angle_alpha 90.00
_cell_angle_beta 90.00
_cell_angle_gamma 90.00
loop_
_symmetry_equiv_pos_as_xyz
'x,y,z'
loop_
_atom_site_label
_atom_site_type_symbol
_atom_site_fract_x
_atom_site_fract_y
_atom_site_fract_z
Lu1 Lu 0.0000 0.0000 0.0000
Lu2 Lu 0.0000 0.5000 0.5000
Lu3 Lu 0.2500 0.2500 0.2500
Lu4 Lu 0.2500 0.7500 0.7500
Lu5 Lu 0.5000 0.0000 0.5000
Lu6 Lu 0.5000 0.5000 0.0000
Lu7 Lu 0.7500 0.2500 0.7500
Lu8 Lu 0.7500 0.7500 0.2500
Tc1 Tc 0.0000 0.0000 0.5000
Tc2 Tc 0.0000 0.5000 0.0000
Tc3 Tc 0.5000 0.0000 0.0000
Tc4 Tc 0.5000 0.5000 0.5000
Pt1 Pt 0.2500 0.2500 0.7500
Pt2 Pt 0.2500 0.7500 0.2500
Pt3 Pt 0.7500 0.2500 0.2500
Pt4 Pt 0.7500 0.7500 0.7500
```

=====

Computed, not measured: a relaxed structure of LuTcPt at the PBE level of DFT.

Computed properties:
Energy, eV/atom: -6.521
Magnetization, μB per cell: 9.029

Structure (CIF):
```
data_LuTcPt
_symmetry_space_group_name_H-M 'P 1'
_symmetry_Int_Tables_number 1
_cell_length_a 6.3256
_cell_length_b 6.3256
_cell_length_c 6.3256
_cell_angle_alpha 90.00
_cell_angle_beta 90.00
_cell_angle_gamma 90.00
loop_
_symmetry_equiv_pos_as_xyz
'x,y,z'
loop_
_atom_site_label
_atom_site_type_symbol
_atom_site_fract_x
_atom_site_fract_y
_atom_site_fract_z
Lu1 Lu 0.0000 0.0000 0.0000
Lu2 Lu 0.0000 0.5000 0.5000
Lu3 Lu 0.5000 0.0000 0.5000
Lu4 Lu 0.5000 0.5000 0.0000
Tc1 Tc 0.2500 0.2500 0.2500
Tc2 Tc 0.2500 0.7500 0.7500
Tc3 Tc 0.7500 0.2500 0.7500
Tc4 Tc 0.7500 0.7500 0.2500
Pt1 Pt 0.2500 0.2500 0.7500
Pt2 Pt 0.2500 0.7500 0.2500
Pt3 Pt 0.7500 0.2500 0.2500
Pt4 Pt 0.7500 0.7500 0.7500
```

=====

Computed, not measured: a relaxed structure of LuTcPt at the PBE level of DFT.

Computed properties:
Energy, eV/atom: -7.026
Magnetization, μB per cell: 8.881

Structure (CIF):
```
data_LuTcPt
_symmetry_space_group_name_H-M 'P 1'
_symmetry_Int_Tables_number 1
_cell_length_a 6.3574
_cell_length_b 6.3574
_cell_length_c 6.3574
_cell_angle_alpha 90.00
_cell_angle_beta 90.00
_cell_angle_gamma 90.00
loop_
_symmetry_equiv_pos_as_xyz
'x,y,z'
loop_
_atom_site_label
_atom_site_type_symbol
_atom_site_fract_x
_atom_site_fract_y
_atom_site_fract_z
Lu1 Lu 0.0000 0.0000 0.0000
Lu2 Lu 0.0000 0.5000 0.5000
Lu3 Lu 0.5000 0.0000 0.5000
Lu4 Lu 0.5000 0.5000 0.0000
Tc1 Tc 0.0000 0.0000 0.5000
Tc2 Tc 0.0000 0.5000 0.0000
Tc3 Tc 0.5000 0.0000 0.0000
Tc4 Tc 0.5000 0.5000 0.5000
Pt1 Pt 0.2500 0.2500 0.2500
Pt2 Pt 0.2500 0.7500 0.7500
Pt3 Pt 0.7500 0.2500 0.7500
Pt4 Pt 0.7500 0.7500 0.2500
```

=====

Computed, not measured: a relaxed structure of Lu5Te3Pt at the PBE level of DFT.

Computed properties:
Energy, eV/atom: -4.980
Magnetization, μB per cell: 0.017

Structure (CIF):
```
data_Lu5Te3Pt
_symmetry_space_group_name_H-M 'P 1'
_symmetry_Int_Tables_number 1
_cell_length_a 8.5675
_cell_length_b 8.5675
_cell_length_c 3.8126
_cell_angle_alpha 90.00
_cell_angle_beta 90.00
_cell_angle_gamma 120.00
loop_
_symmetry_equiv_pos_as_xyz
'x,y,z'
loop_
_atom_site_label
_atom_site_type_symbol
_atom_site_fract_x
_atom_site_fract_y
_atom_site_fract_z
Lu1 Lu 0.0000 0.2334 0.0000
Lu2 Lu 0.2334 0.0000 0.0000
Lu3 Lu 0.3333 0.6667 0.0000
Lu4 Lu 0.6667 0.3333 0.0000
Lu5 Lu 0.7666 0.7666 0.0000
Te1 Te 0.0000 0.5534 0.5000
Te2 Te 0.4466 0.4466 0.5000
Te3 Te 0.5534 0.0000 0.5000
Pt1 Pt 0.0000 0.0000 0.5000
```

=====

Computed, not measured: a relaxed structure of LuTlTe3Pt at the PBE level of DFT.

Computed properties:
Energy, eV/atom: -4.400
Magnetization, μB per cell: 0.008

Structure (CIF):
```
data_LuTlTe3Pt
_symmetry_space_group_name_H-M 'P 1'
_symmetry_Int_Tables_number 1
_cell_length_a 8.8493
_cell_length_b 4.1154
_cell_length_c 11.0189
_cell_angle_alpha 90.00
_cell_angle_beta 112.29
_cell_angle_gamma 90.00
loop_
_symmetry_equiv_pos_as_xyz
'x,y,z'
loop_
_atom_site_label
_atom_site_type_symbol
_atom_site_fract_x
_atom_site_fract_y
_atom_site_fract_z
Lu1 Lu 0.1994 0.2500 0.1571
Lu2 Lu 0.8006 0.7500 0.8429
Tl1 Tl 0.2230 0.7500 0.7061
Tl2 Tl 0.7770 0.2500 0.2939
Te1 Te 0.0624 0.2500 0.8643
Te2 Te 0.2840 0.2500 0.4668
Te3 Te 0.4504 0.7500 0.1517
Te4 Te 0.5496 0.2500 0.8483
Te5 Te 0.7160 0.7500 0.5332
Te6 Te 0.9376 0.7500 0.1357
Pt1 Pt 0.3951 0.7500 0.3734
Pt2 Pt 0.6049 0.2500 0.6266
```